# 1
The following is a DFT calculation (GGA-PBEsol) of Mn2MoHPd after structural relaxation.

Unit cell a=4.4511 b=4.4511 c=4.7961 alpha=90.00 beta=90.00 gamma=90.00
Atoms (fractional coordinates):
Mn 0.0000 0.5000 0.0000
Mn 0.5000 0.0000 0.0000
Mo 0.0000 0.0000 0.0000
H 0.5000 0.5000 0.5000
Pd 0.0000 0.0000 0.5000

SG: P4/mmm, No. 123
DFT total energy: -30.939 eV for the cell shown


# 2
The following is a DFT calculation (GGA-PBEsol) of CaSc5 after structural relaxation.

Unit cell a=5.2421 b=8.9349 c=8.9349 alpha=21.30 beta=90.00 gamma=90.00
Atoms (fractional coordinates):
Ca 0.0000 0.0000 0.0000
Sc 0.0000 0.3275 0.3275
Sc 0.0000 0.6740 0.6740
Sc 0.5000 0.2253 0.2253
Sc 0.5000 0.5650 0.5650
Sc 0.5000 0.8856 0.8856

SG: Amm2, No. 38
formation enthalpy at 0 K: 0.12 eV per atom
energy above the most stable polymorph in this dataset: 0.0 meV per atom


# 3
The following is a DFT calculation (GGA-PBEsol) of BaMn2PBr after structural relaxation.

Unit cell a=4.6650 b=4.6650 c=6.0669 alpha=90.00 beta=90.00 gamma=90.00
Atoms (fractional coordinates):
Ba 0.0000 0.0000 0.0000
Mn 0.0000 0.5000 0.5000
Mn 0.5000 0.0000 0.5000
P 0.5000 0.5000 0.0000
Br 0.0000 0.0000 0.5000

SG: P4/mmm, No. 123
formation energy from raw total energies: 0.65 eV/atom